The following is a GGA-PBE calculation of a relaxed structure of Tb4Pm3Ho4, from Alexandria.

Lattice parameters (Å, degrees): 10.933 10.933 10.933 161.39 118.03 65.32
Atoms (fractional coordinates):
Tb1 0.217 0.217 0.000
Tb2 0.289 0.500 0.789
Tb3 0.711 0.500 0.211
Tb4 0.783 0.783 0.000
Pm1 0.000 0.000 0.000
Pm2 0.391 0.891 0.500
Pm3 0.609 0.109 0.500
Ho1 0.073 0.328 0.744
Ho2 0.416 0.672 0.744
Ho3 0.584 0.328 0.256
Ho4 0.927 0.672 0.256

ΔE_f: 170 meV per atom
Excess energy over the best structure of this formula in the dataset: 116 meV/atom
Mass density: 7.841 g/cm3
Symmetry: Immm (71)

***

The following is a GGA-PBE calculation of a relaxed structure of Ho2ZrNpP4, from Alexandria.

Lattice parameters (Å, degrees): 6.754 3.908 6.773 90.00 109.24 90.00
Atoms (fractional coordinates):
Ho1 0.000 0.000 0.000
Ho2 0.500 0.500 0.000
Zr1 0.000 0.500 0.500
Np1 0.500 0.000 0.500
P1 0.242 0.000 0.739
P2 0.247 0.500 0.258
P3 0.753 0.500 0.742
P4 0.758 0.000 0.261

ΔE_f: -1368 meV per atom
Mass density: 7.693 g/cm3
Symmetry: P2/m (10)

***

no.,total DFT energy (no corrections) (eV/atom)
1,-4.474
2,-7.903